(1)
A plane-wave DFT calculation with GGA-PBE was carried out for an optimized crystal structure of Sr3CeP2N6.

a = 5.9157 Å, b = 5.9157 Å, c = 6.7634 Å
α = 90.00°, β = 90.00°, γ = 120.00°
Space group P-3m1 (No. 164)
Inequivalent atoms, fractional coordinates:
Sr  0.0000  0.0000  0.0000 [1 per cell]
Sr  0.3333  0.6667  0.6796 [2 per cell]
Ce  0.0000  0.0000  0.5000 [1 per cell]
P  0.3333  0.6667  0.2222 [2 per cell]
N  0.1801  0.3601  0.2872 [6 per cell]

Values from the calculation:
As for the volume: 17.1 Å³ per atom. The formation energy from raw total energies is -0.94 eV per atom.

---

(2)
A plane-wave DFT calculation with GGA-PBE was carried out for an optimized crystal structure of Tb2CePN5.

a = 6.543 Å, b = 6.543 Å, c = 10.554 Å
α = 90.00°, β = 90.00°, γ = 90.00°
Space group I4/mcm (No. 140)
Inequivalent atoms, fractional coordinates:
Tb  0.177  0.323  0.000 [8 per cell]
Ce  0.000  0.000  0.250 [4 per cell]
P  0.000  0.500  0.250 [4 per cell]
N  0.000  0.000  0.000 [4 per cell]
N  0.138  0.362  0.348 [16 per cell]

Values from the calculation:
As for the volume: 12.6 Å³ per atom. The formation energy from raw total energies is -1.35 eV per atom.

---

(3)
A plane-wave DFT calculation with GGA-PBE was carried out for an optimized crystal structure of CeTc2PN.

a = 3.756 Å, b = 11.227 Å, c = 7.192 Å
α = 90.00°, β = 90.00°, γ = 90.00°
Space group Cmcm (No. 63)
Inequivalent atoms, fractional coordinates:
Ce  0.000  0.043  0.250 [4 per cell]
Tc  0.000  0.331  0.058 [8 per cell]
P  0.000  0.233  0.750 [4 per cell]
N  0.000  0.500  0.000 [4 per cell]

Values from the calculation:
As for the volume: 15.2 Å³ per atom. The formation energy from raw total energies is -0.87 eV per atom.

---

(4)
A plane-wave DFT calculation with GGA-PBE was carried out for an optimized crystal structure of Ce3TePN.

a = 8.808 Å, b = 4.124 Å, c = 9.170 Å
α = 90.00°, β = 102.70°, γ = 90.00°
Space group P2_1/m (No. 11)
Inequivalent atoms, fractional coordinates:
Ce  0.065  0.250  0.342 [2 per cell]
Ce  0.331  0.250  0.976 [2 per cell]
Ce  0.382  0.750  0.650 [2 per cell]
Te  0.321  0.750  0.276 [2 per cell]
P  0.159  0.250  0.657 [2 per cell]
N  0.417  0.750  0.900 [2 per cell]

Values from the calculation:
As for the volume: 27.1 Å³ per atom. The formation energy from raw total energies is -1.38 eV per atom.

---

(5)
A plane-wave DFT calculation with GGA-PBE was carried out for an optimized crystal structure of Ce8Te4P3N.

a = 8.2795 Å, b = 8.2795 Å, c = 21.6443 Å
α = 90.00°, β = 90.00°, γ = 120.00°
Space group R-3m (No. 166, hexagonal axes)
Inequivalent atoms, fractional coordinates:
Ce  0.0000  0.0000  0.2383 [6 per cell]
Ce  0.0213  0.5106  0.2340 [18 per cell]
Te  0.0000  0.0000  0.0000 [3 per cell]
Te  0.0000  0.5000  0.0000 [9 per cell]
P  0.0000  0.5000  0.5000 [9 per cell]
N  0.0000  0.0000  0.5000 [3 per cell]

Values from the calculation:
As for the volume: 26.8 Å³ per atom. The formation energy from raw total energies is -1.40 eV per atom.

---

(6)
A plane-wave DFT calculation with GGA-PBE was carried out for an optimized crystal structure of CeThPN.

a = 4.177 Å, b = 4.177 Å, c = 9.708 Å
α = 90.00°, β = 90.00°, γ = 90.00°
Space group P4/nmm (No. 129, origin choice 2)
Inequivalent atoms, fractional coordinates:
Ce  0.250  0.750  0.000 [2 per cell]
Th  0.250  0.250  0.385 [2 per cell]
P  0.250  0.250  0.795 [2 per cell]
N  0.250  0.750  0.500 [2 per cell]

Values from the calculation:
As for the volume: 21.2 Å³ per atom. The formation energy from raw total energies is -1.28 eV per atom.